This record from Alexandria via LeMat-Bulk describes a relaxed structure of RbHgAu2. The functional is GGA-PBE.

Lattice parameters (Å, degrees): 8.3700 4.8962 6.7052 90.00 115.05 90.00
Closest atoms and distances in Å follow each position.
Space group Cm (No. 8)
Asymmetric unit:
Rb  0.0000  0.0000  0.0000 (multiplicity 2)  4 Hg 3.56-3.78, 7 Au 3.57-3.89
Hg  0.3032  0.5000  0.4147 (multiplicity 2)  6 Au 2.92-3.01
Au  0.0191  0.5000  0.5592 (multiplicity 2)  3 Au 2.80-2.82, 3 Hg 2.92-2.95
Au  0.1947  0.0000  0.5873 (multiplicity 2)  3 Au 2.80-2.82, 3 Hg 2.98-3.01

This record from Alexandria via LeMat-Bulk describes a relaxed structure of Rb2Hg12Au. The functional is GGA-PBE.

Lattice parameters (Å, degrees): 7.2206 7.2206 18.2316 90.00 90.00 90.00
Closest atoms and distances in Å follow each position.
Space group P4/nbm (No. 125, origin choice 2)
Asymmetric unit:
Rb  0.2500  0.7500  0.2432 (multiplicity 4)  14 Hg 3.78-4.11
Hg  0.9999  0.0001  0.0859 (multiplicity 8)  2 Au 2.99-3.00, 3 Hg 3.10-3.13
Hg  0.0928  0.5928  0.4333 (multiplicity 8)  6 Hg 3.08-3.33
Hg  0.2500  0.2500  0.1827 (multiplicity 4)  5 Hg 3.07-3.10
Hg  0.2500  0.2500  0.3511 (multiplicity 4)  5 Hg 3.07-3.11
Au  0.2500  0.7500  0.0000 (multiplicity 2)  8 Hg 2.99-3.00

This record from Alexandria via LeMat-Bulk describes a relaxed structure of Rb8HgAu6. The functional is GGA-PBE.

Lattice parameters (Å, degrees): 10.3808 10.3808 20.9921 90.00 90.00 120.00
Closest atoms and distances in Å follow each position.
Space group R-3 (No. 148, hexagonal axes)
Asymmetric unit:
Rb  0.0000  0.0000  0.1680 (multiplicity 6)  6 Au 3.52-3.60
Rb  0.0086  0.2951  0.5999 (multiplicity 18)  5 Au 3.53-3.63, 1 Hg 3.68
Hg  0.0000  0.0000  0.5000 (multiplicity 3)  6 Rb 3.68, 6 Au 4.07
Au  0.0038  0.3717  0.4354 (multiplicity 18)  7 Rb 3.52-3.63, 1 Au 3.83

Taking the records one at a time from the top gives total DFT energy (no corrections) values of -2.1658 -0.7116 -2.0854 eV/atom.